First-principles (PBE-GGA) data for crystalline SbH2Cl6 at its relaxed geometry, as listed in Alexandria.

Results
* energy relative to the lowest polymorph listed for this composition: 0.0 kJ/mol of atoms
* SG: C2/c

Unit cell a=9.5786 b=9.5786 c=6.3622 alpha=96.91 beta=96.91 gamma=81.70
Fractional positions:
Sb 0.1008 0.8992 0.7500
Sb 0.8992 0.1008 0.2500
H 0.3490 0.3931 0.2024
H 0.3931 0.3490 0.7024
H 0.6069 0.6510 0.2976
H 0.6510 0.6069 0.7976
Cl 0.0333 0.1752 0.6085
Cl 0.1215 0.6704 0.8663
Cl 0.1752 0.0333 0.1085
Cl 0.2861 0.4484 0.3685
Cl 0.3296 0.8785 0.6337
Cl 0.4484 0.2861 0.8685
Cl 0.5516 0.7139 0.1315
Cl 0.6704 0.1215 0.3663
Cl 0.7139 0.5516 0.6315
Cl 0.8248 0.9667 0.8915
Cl 0.8785 0.3296 0.1337
Cl 0.9667 0.8248 0.3915